Computed, not measured: a geometry-optimized K2MnW structure at the PBE level of DFT.

abc: 3.2726 3.3014 10.7108
angles: 90.00 90.29 90.00
Space group Pm (No. 6)
Asymmetric unit:
K: 0.0000 0.0000 0.0000
K: 0.4881 0.5000 0.4017
Mn: 0.4933 0.5000 0.7484
W: 0.9920 0.0000 0.6650

ΔH_f (0 K) = 3.5 eV per formula unit
polymorph energy (0 for the lowest one) = 0 meV per atom
magnetization = 0.5388 μB/atom
calculated total energy = -5.193 eV per atom